(1)
The following is a GGA-PBE calculation of an optimized crystal structure of DyY5Sb6, from Alexandria.

abc: 7.602 7.606 7.605
angles: 60.00 80.40 70.52
Sites, in units of the cell vectors:
Sb  0.750  0.083  0.333
Sb  0.250  0.917  0.667
Dy  0.000  0.000  0.000
Sb  0.250  0.584  0.333
Y  0.500  0.167  0.667
Y  0.000  0.333  0.333
Sb  0.250  0.250  0.000
Sb  0.750  0.750  0.000
Y  0.500  0.833  0.333
Sb  0.750  0.416  0.667
Y  0.500  0.500  0.000
Y  0.000  0.667  0.667

As for the space group: No. 12.



(2)
The following is a GGA-PBE calculation of an optimized crystal structure of DyYSb2, from Alexandria.

abc: 4.360 4.360 7.491
angles: 90.00 90.00 120.00
Sites, in units of the cell vectors:
Sb  0.667  0.833  0.751
Dy  0.000  0.500  0.000
Sb  0.333  0.167  0.249
Y  0.000  0.500  0.500

As for the space group: No. 164.



(3)
The following is a GGA-PBE calculation of an optimized crystal structure of Dy5Zn2Sb, from Alexandria.

abc: 8.129 8.129 8.553
angles: 118.38 118.38 90.00
Sites, in units of the cell vectors:
Dy  0.510  0.702  0.712
Dy  0.010  0.510  0.712
Dy  0.798  0.990  0.288
Zn  0.861  0.639  0.000
Dy  0.500  0.500  0.000
Dy  0.298  0.798  0.288
Sb  0.250  0.250  0.500
Zn  0.361  0.861  0.000
Dy  0.202  0.010  0.712
Dy  0.000  0.000  0.000
Zn  0.139  0.361  0.000
Zn  0.639  0.139  0.000
Dy  0.702  0.202  0.712
Sb  0.750  0.750  0.500
Dy  0.990  0.490  0.288
Dy  0.490  0.298  0.288

As for the space group: No. 140.



(4)
The following is a GGA-PBE calculation of an optimized crystal structure of Dy2ZnSb4, from Alexandria.

abc: 4.335 4.335 9.844
angles: 90.00 90.00 90.00
Sites, in units of the cell vectors:
Sb  0.000  0.500  0.839
Sb  0.000  0.000  0.500
Dy  0.000  0.500  0.253
Sb  0.500  0.500  0.500
Zn  0.500  0.500  0.000
Dy  0.500  0.000  0.747
Sb  0.500  0.000  0.161

As for the space group: No. 115.



(5)
The following is a GGA-PBE calculation of an optimized crystal structure of DyZnSb, from Alexandria.

abc: 4.292 4.392 4.392
angles: 120.00 90.00 90.00
Sites, in units of the cell vectors:
Dy  0.708  0.667  0.333
Sb  0.258  0.333  0.667
Zn  0.034  0.000  0.000

As for the space group: No. 156.



(6)
The following is a GGA-PBE calculation of an optimized crystal structure of Dy5ZnSb2, from Alexandria.

abc: 5.691 6.478 13.933
angles: 90.00 90.00 116.06
Sites, in units of the cell vectors:
Sb  0.198  0.396  0.885
Dy  0.930  0.859  0.895
Dy  0.589  0.178  0.250
Sb  0.802  0.604  0.385
Dy  0.411  0.822  0.750
Zn  0.711  0.423  0.750
Zn  0.289  0.577  0.250
Dy  0.624  0.248  0.948
Dy  0.376  0.752  0.052
Dy  0.070  0.141  0.105
Sb  0.802  0.604  0.115
Dy  0.070  0.141  0.395
Dy  0.624  0.248  0.552
Dy  0.376  0.752  0.448
Dy  0.930  0.859  0.605
Sb  0.198  0.396  0.615

As for the space group: No. 63.



(7)
The following is a GGA-PBE calculation of an optimized crystal structure of Dy2ZnSb, from Alexandria.

abc: 3.852 3.852 6.696
angles: 90.00 90.00 90.00
Each line ends with the local moment (μB).
Sites, in units of the cell vectors:
Dy  0.000  0.000  0.253  0.08
Dy  0.000  0.000  0.747  0.08
Zn  0.500  0.500  0.500  0.00
Sb  0.500  0.500  0.000  0.00

As for the space group: No. 123.



(8)
The following is a GGA-PBE calculation of an optimized crystal structure of Dy5ZnSb4, from Alexandria.

abc: 6.146 7.536 7.536
angles: 80.43 65.94 65.94
Each line ends with the local moment (μB).
Sites, in units of the cell vectors:
Dy  0.104  0.593  0.200  0.01
Sb  0.800  0.800  0.601  0.00
Dy  0.304  0.800  0.593  0.01
Dy  0.502  0.000  0.000  0.09
Dy  0.897  0.407  0.800  0.01
Zn  0.002  0.000  0.000  0.03
Sb  0.401  0.399  0.800  0.00
Dy  0.697  0.200  0.407  0.01
Sb  0.600  0.601  0.200  0.00
Sb  0.201  0.200  0.399  0.00

As for the space group: No. 79.



(9)
The following is a GGA-PBE calculation of an optimized crystal structure of DyZnSb, from Alexandria.

abc: 4.548 5.745 10.361
angles: 98.53 100.70 37.40
Sites, in units of the cell vectors:
Dy  0.521  0.826  0.912
Zn  0.463  0.325  0.771
Sb  0.803  0.325  0.390
Zn  0.917  0.325  0.662
Sb  0.576  0.326  0.043
Dy  0.858  0.825  0.521

As for the space group: No. 2.



(10)
The following is a GGA-PBE calculation of an optimized crystal structure of Dy8ZnSb2, from Alexandria.

abc: 4.966 6.811 9.826
angles: 102.70 104.64 90.00
Sites, in units of the cell vectors:
Dy  0.983  0.225  0.967
Sb  0.180  0.764  0.361
Dy  0.592  0.479  0.184
Dy  0.408  0.521  0.816
Dy  0.346  0.987  0.691
Dy  0.785  0.668  0.570
Dy  0.017  0.775  0.033
Zn  0.500  0.000  0.000
Sb  0.820  0.236  0.639
Dy  0.654  0.013  0.309
Dy  0.215  0.332  0.430

As for the space group: No. 12.



(11)
The following is a GGA-PBE calculation of an optimized crystal structure of Dy5ZrSb6, from Alexandria.

abc: 7.513 7.513 7.508
angles: 99.63 99.63 119.98
Sites, in units of the cell vectors:
Zr  0.000  0.000  0.000
Dy  0.171  0.829  0.500
Sb  0.406  0.081  0.244
Sb  0.241  0.241  0.752
Dy  0.335  0.665  0.000
Dy  0.829  0.171  0.500
Sb  0.081  0.406  0.244
Sb  0.594  0.919  0.756
Sb  0.919  0.594  0.756
Sb  0.759  0.759  0.248
Dy  0.500  0.500  0.500
Dy  0.665  0.335  0.000

As for the space group: No. 12.



(12)
The following is a GGA-PBE calculation of an optimized crystal structure of DyZr3Sb2, from Alexandria.

abc: 4.035 9.884 9.057
angles: 122.95 90.00 101.78
Sites, in units of the cell vectors:
Zr  0.314  0.628  0.523
Dy  0.888  0.776  0.899
Zr  0.059  0.118  0.458
Sb  0.491  0.981  0.812
Sb  0.509  0.019  0.188
Zr  0.648  0.296  0.818
Sb  0.246  0.492  0.769
Zr  0.352  0.704  0.182
Dy  0.112  0.224  0.101
Sb  0.754  0.508  0.231
Zr  0.686  0.372  0.477
Zr  0.941  0.882  0.542

As for the space group: No. 12.



no.,DOS at the Fermi energy (states/eV/atom),calculated total energy (eV/atom)
1,0.159,-6.299
2,0.187,-5.905
3,0.670,-4.188
4,0.346,-4.505
5,0.127,-3.921
6,0.872,-4.410
7,0.745,-4.248
8,0.725,-4.944
9,0.407,-3.853
10,1.016,-4.599
11,0.236,-5.730
12,0.857,-6.992